Record 1
Below is Al2GaO4 after structural relaxation, with properties calculated at the PBE level.

magnetic moment: 0.00 μB/f.u.
excess energy over the best structure of this formula in the dataset: 0.042 eV per atom
energy: -6.590 eV/atom
symmetry: No. 111
uncorrected formation energy: -2255 meV/atom

abc: 4.3348 4.3348 4.7998
angles: 90.00 90.00 90.00
Last column: nearest neighbours and their distance in Å.
Positions (direct):
O 0.2446 0.2446 0.3011  2 Al 1.81
O 0.7554 0.2446 0.6989  2 Al 1.81
O 0.7554 0.7554 0.3011  2 Al 1.81
O 0.2446 0.7554 0.6989  2 Al 1.81
Al 0.5000 0.0000 0.5000  4 O 1.81
Al 0.0000 0.5000 0.5000  4 O 1.81
Ga 0.0000 0.0000 0.0000  4 O 2.08


Record 2
Below is Al3GaO after structural relaxation, with properties calculated at the PBE level.

magnetic moment: 0.00 μB/f.u.
excess energy over the best structure of this formula in the dataset: 0.000 eV per atom
energy: -4.176 eV/atom
symmetry: No. 221
uncorrected formation energy: -334 meV/atom

abc: 4.2225 4.2225 4.2225
angles: 90.00 90.00 90.00
Last column: nearest neighbours and their distance in Å.
Positions (direct):
Al 0.0000 0.0000 0.5000  2 O 2.11
Al 0.5000 0.0000 0.0000  2 O 2.11
Al 0.0000 0.5000 0.0000  2 O 2.11
Ga 0.5000 0.5000 0.5000  12 Al 2.99
O 0.0000 0.0000 0.0000  6 Al 2.11


Record 3
Below is Al3GaO6 after structural relaxation, with properties calculated at the PBE level.

magnetic moment: 0.00 μB/f.u.
energy: -6.918 eV/atom
symmetry: No. 11
uncorrected formation energy: -2518 meV/atom

abc: 2.8236 8.1119 8.5751
angles: 113.20 90.00 90.00
Last column: nearest neighbours and their distance in Å.
Positions (direct):
Ga 0.2500 0.3036 0.9264  5 O 2.01-2.15
Ga 0.7500 0.6964 0.0736  5 O 2.01-2.15
O 0.2500 0.7350 0.2625  3 Al 2.03-2.11, 2 Ga 2.08
O 0.7500 0.2650 0.7375  3 Al 2.03-2.11, 2 Ga 2.08
O 0.7500 0.0869 0.9284  3 Al 1.98-2.08
O 0.7500 0.7497 0.7660  3 Al 1.81-1.82
O 0.2500 0.9131 0.0716  3 Al 1.98-2.08
O 0.2500 0.2503 0.2340  3 Al 1.81-1.82
O 0.7500 0.5970 0.4245  3 Al 1.80-1.85
O 0.7500 0.0620 0.4034  4 Al 1.88-2.09
O 0.2500 0.9380 0.5966  4 Al 1.88-2.09
O 0.2500 0.4030 0.5755  3 Al 1.80-1.85
O 0.2500 0.5592 0.9047  3 Ga 2.01-2.15, 2 Al 2.13
O 0.7500 0.4408 0.0953  3 Ga 2.01-2.15, 2 Al 2.13
Al 0.7500 0.5099 0.7057  3 O 1.80-1.81
Al 0.2500 0.4901 0.2943  3 O 1.80-1.81
Al 0.2500 0.9048 0.8263  4 O 1.82-1.98
Al 0.7500 0.0952 0.1737  4 O 1.82-1.98
Al 0.2500 0.1676 0.5546  6 O 1.85-2.03
Al 0.7500 0.8324 0.4454  6 O 1.85-2.03


Record 4
Below is Al2Ga4O9 after structural relaxation, with properties calculated at the PBE level.

magnetic moment: 0.00 μB/f.u.
energy: -6.489 eV/atom
symmetry: No. 165
uncorrected formation energy: -2208 meV/atom

abc: 4.9752 4.9751 13.4576
angles: 90.00 90.00 60.00
Last column: nearest neighbours and their distance in Å.
Positions (direct):
O 0.0006 0.2932 0.7500  2 Ga 1.95, 2 Al 2.00
O 0.7071 0.9997 0.7500  2 Ga 1.95, 2 Al 2.00
O 0.3514 0.9708 0.9152  1 Al 1.88, 2 Ga 1.94-2.08
O 0.6486 0.0292 0.0848  1 Al 1.88, 2 Ga 1.94-2.08
O 0.6783 0.3509 0.9152  1 Al 1.88, 2 Ga 1.94-2.08
O 0.2929 0.0003 0.2500  2 Ga 1.95, 2 Al 2.00
O 0.3217 0.6491 0.0848  1 Al 1.88, 2 Ga 1.94-2.08
O 0.0288 0.3221 0.0848  1 Al 1.88, 2 Ga 1.94-2.08
O 0.7060 0.2937 0.2500  2 Ga 1.95, 2 Al 2.00
O 0.6493 0.3218 0.5849  1 Al 1.88, 2 Ga 1.94-2.08
O 0.9712 0.6779 0.9152  1 Al 1.88, 2 Ga 1.94-2.08
O 0.6777 0.9711 0.4152  1 Al 1.88, 2 Ga 1.94-2.08
O 0.2940 0.7063 0.7500  2 Ga 1.95, 2 Al 2.00
O 0.9706 0.3513 0.4152  1 Al 1.88, 2 Ga 1.94-2.08
O 0.3507 0.6782 0.4151  1 Al 1.88, 2 Ga 1.94-2.08
O 0.9994 0.7068 0.2500  2 Ga 1.95, 2 Al 2.00
O 0.0294 0.6487 0.5848  1 Al 1.88, 2 Ga 1.94-2.08
O 0.3223 0.0289 0.5848  1 Al 1.88, 2 Ga 1.94-2.08
Ga 0.6672 0.6664 0.8117  6 O 1.95-2.08
Ga 0.3328 0.3336 0.1883  6 O 1.95-2.08
Ga 0.6661 0.6670 0.3116  6 O 1.95-2.08
Ga 0.6665 0.6667 0.0236  6 O 1.94-2.12
Ga 0.3339 0.3330 0.6884  6 O 1.95-2.08
Ga 0.3335 0.3333 0.9764  6 O 1.94-2.12
Ga 0.6669 0.6665 0.5236  6 O 1.94-2.12
Ga 0.3331 0.3335 0.4764  6 O 1.94-2.12
Al 0.0005 0.9998 0.6480  6 O 1.88-2.00
Al 0.9995 0.0002 0.3520  6 O 1.88-2.00
Al 0.9996 0.0002 0.1480  6 O 1.88-2.00
Al 0.0004 0.9998 0.8520  6 O 1.88-2.00


Record 5
Below is Al4Ga2O9 after structural relaxation, with properties calculated at the PBE level.

magnetic moment: 0.00 μB/f.u.
energy: -6.980 eV/atom
symmetry: No. 165
uncorrected formation energy: -2604 meV/atom

abc: 4.8904 4.8903 13.2952
angles: 90.00 90.00 60.00
Last column: nearest neighbours and their distance in Å.
Positions (direct):
O 0.3167 0.0001 0.2500  2 Al 1.88, 2 Ga 2.09
O 0.3724 0.6553 0.4181  3 Al 1.88-2.02, 1 Ga 1.94
O 0.6274 0.0279 0.0819  3 Al 1.88-2.02, 1 Ga 1.94
O 0.3726 0.9721 0.9181  3 Al 1.88-2.02, 1 Ga 1.94
O 0.0002 0.3168 0.7500  2 Al 1.88, 2 Ga 2.09
O 0.6553 0.9722 0.4181  3 Al 1.88-2.02, 1 Ga 1.94
O 0.9998 0.6832 0.2500  2 Al 1.88, 2 Ga 2.09
O 0.6554 0.3724 0.9181  3 Al 1.88-2.02, 1 Ga 1.94
O 0.0279 0.6275 0.5819  3 Al 1.88-2.02, 1 Ga 1.94
O 0.3170 0.6831 0.7500  2 Al 1.88, 2 Ga 2.09
O 0.6830 0.3169 0.2500  2 Al 1.88, 2 Ga 2.09
O 0.9723 0.6552 0.9181  3 Al 1.88-2.02, 1 Ga 1.94
O 0.3446 0.6276 0.0819  3 Al 1.88-2.02, 1 Ga 1.94
O 0.0277 0.3448 0.0819  3 Al 1.88-2.02, 1 Ga 1.94
O 0.9721 0.3725 0.4181  3 Al 1.88-2.02, 1 Ga 1.94
O 0.3447 0.0278 0.5819  3 Al 1.88-2.02, 1 Ga 1.94
O 0.6833 0.9999 0.7500  2 Al 1.88, 2 Ga 2.09
O 0.6276 0.3447 0.5819  3 Al 1.88-2.02, 1 Ga 1.94
Al 0.6667 0.6667 0.5183  6 O 1.88-1.98
Al 0.3333 0.3333 0.4817  6 O 1.88-1.98
Al 0.3334 0.3333 0.9817  6 O 1.88-1.98
Al 0.6665 0.6667 0.3140  6 O 1.88-2.02
Al 0.6666 0.6667 0.0183  6 O 1.88-1.98
Al 0.6668 0.6666 0.8140  6 O 1.88-2.02
Al 0.3335 0.3333 0.6860  6 O 1.88-2.02
Al 0.3332 0.3334 0.1860  6 O 1.88-2.02
Ga 0.9999 0.0000 0.3557  6 O 1.94-2.09
Ga 0.0001 0.0000 0.6443  6 O 1.94-2.09
Ga 0.0001 0.9999 0.8557  6 O 1.94-2.09
Ga 0.9999 0.0001 0.1443  6 O 1.94-2.09


Record 6
Below is Al2Ga2O after structural relaxation, with properties calculated at the PBE level.

magnetic moment: 0.00 μB/f.u.
excess energy over the best structure of this formula in the dataset: 0.000 eV per atom
energy: -3.771 eV/atom
symmetry: No. 127
uncorrected formation energy: -72 meV/atom

abc: 5.6611 5.6611 5.2342
angles: 90.00 90.00 90.00
Last column: nearest neighbours and their distance in Å.
Positions (direct):
Al 0.3236 0.1764 0.5000  5 Al 2.83-2.95, 2 Ga 2.92
Al 0.8236 0.3236 0.5000  5 Al 2.83-2.95, 2 Ga 2.92
Al 0.6764 0.8236 0.5000  5 Al 2.83-2.95, 2 Ga 2.92
Al 0.1764 0.6764 0.5000  5 Al 2.83-2.95, 2 Ga 2.92
O 0.0000 0.0000 0.0000  4 Ga 2.12
O 0.5000 0.5000 0.0000  4 Ga 2.12
Ga 0.6628 0.1628 0.0000  2 O 2.12
Ga 0.8372 0.6628 0.0000  2 O 2.12
Ga 0.1628 0.3372 0.0000  2 O 2.12
Ga 0.3372 0.8372 0.0000  2 O 2.12


> magnetic moment of number 2 (Al3GaO)?

0.00 μB/f.u.